# 1
# Li2CdAg (GGA-PBEsol, relaxed)
data_Li2CdAg
_symmetry_space_group_name_H-M 'I -4 m 2'
_symmetry_Int_Tables_number 119
_symmetry_space_group_name_Hall 'I -4 -2'
_cell_length_a 4.074
_cell_length_b 4.074
_cell_length_c 7.981
_cell_angle_alpha 90.00
_cell_angle_beta 90.00
_cell_angle_gamma 90.00
loop_
_atom_site_label
_atom_site_fract_x
_atom_site_fract_y
_atom_site_fract_z
Li1 0.000 0.000 0.000
Li2 0.000 0.500 0.250
Cd1 0.000 0.000 0.500
Ag1 0.000 0.500 0.750
# ΔE_f	-0.239	eV per atom

=====

# 2
# Sb2Te4Pb (GGA-PBEsol, relaxed)
data_Sb2Te4Pb
_symmetry_space_group_name_H-M 'R -3 m'
_symmetry_Int_Tables_number 166
_symmetry_space_group_name_Hall '-R 3 2"'
_cell_length_a 4.3460
_cell_length_b 4.3460
_cell_length_c 41.0210
_cell_angle_alpha 90.00
_cell_angle_beta 90.00
_cell_angle_gamma 120.00
loop_
_atom_site_label
_atom_site_fract_x
_atom_site_fract_y
_atom_site_fract_z
Sb1 0.0000 0.0000 0.0716
Te1 0.0000 0.0000 0.2149
Te2 0.0000 0.0000 0.3646
Pb1 0.0000 0.0000 0.5000
# raw formation energy	-0.1852	eV/atom

=====

# 3
# BeZnOs2 (GGA-PBEsol, relaxed)
data_BeZnOs2
_symmetry_space_group_name_H-M 'P 4 m m'
_symmetry_Int_Tables_number 99
_cell_length_a 2.811
_cell_length_b 2.811
_cell_length_c 6.193
_cell_angle_alpha 90.00
_cell_angle_beta 90.00
_cell_angle_gamma 90.00
loop_
_symmetry_equiv_pos_as_xyz
'x,y,z'
'-y,x,z'
'-x,-y,z'
'y,-x,z'
'-x,y,z'
'y,x,z'
'x,-y,z'
'-y,-x,z'
loop_
_atom_site_label
_atom_site_fract_x
_atom_site_fract_y
_atom_site_fract_z
Be1 0.000 0.000 0.000
Zn1 0.500 0.500 0.782
Os1 0.000 0.000 0.496
Os2 0.500 0.500 0.222
# ΔE_f	-0.057	eV per atom